Compound: TlHgAu2
Source: the Alexandria database
Functional: GGA-PBE
Structure: relaxed

a b c (Å): 4.718 4.718 6.042
angles (deg): 106.03 106.03 50.56
Positions (direct):
Tl  0.000  0.000  0.000
Hg  0.770  0.770  0.335
Au  0.249  0.249  0.740
Au  0.514  0.514  0.557

**M_tot**: 0.00 μB/f.u.
**VASP energy**: -2.2478 eV per atom
**Formation enthalpy at 0 K**: 0.06 eV/atom